(1)
Here is an optimized crystal structure of HfNbZn from the Alexandria database. Energies are from PBE.

```
6
Lattice="6.693 0.000 0.045 0.000 4.201 0.000 -1.286 0.000 3.901" Properties=species:S:1:pos:R:3 pbc="T T T"
Nb 3.364 0.000 2.615
Nb 4.007 2.101 0.664
Hf 6.171 0.000 1.380
Hf 5.528 2.101 3.330
Zn 2.119 0.000 0.041
Zn 1.476 2.101 1.991
```

Computed properties:
- Crystal system: orthorhombic
- SG: Fmm2 (42)
- Total magnetic moment: 0.00 μB per cell

***

(2)
Here is an optimized crystal structure of LiTcAg2 from the Alexandria database. Energies are from PBE.

```
4
Lattice="-1.144 -2.268 -0.851 3.702 -0.661 -3.216 2.503 -2.540 3.403" Properties=species:S:1:pos:R:3 pbc="T T T"
Ag 0.000 0.000 0.000
Ag 1.279 -1.464 -2.034
Li 0.680 -2.404 1.276
Tc 3.102 -1.600 0.093
```

Computed properties:
- Crystal system: orthorhombic
- SG: Pmmm (47)
- Total magnetic moment: 0.71 μB per cell

***

(3)
Here is an optimized crystal structure of FeBiTe2 from the Alexandria database. Energies are from PBE.

```
4
Lattice="2.138 0.000 9.177 -1.069 1.852 9.177 -1.069 -1.852 9.177" Properties=species:S:1:pos:R:3 pbc="T T T"
Te 0.000 0.000 24.340
Te 0.000 0.000 3.192
Bi 0.000 0.000 0.000
Fe 0.000 0.000 13.766
```

Computed properties:
- Crystal system: trigonal
- SG: R-3m (166)
- Total magnetic moment: 0.68 μB per cell

***

(4)
Here is an optimized crystal structure of DyHo2Ag from the Alexandria database. Energies are from PBE.

```
4
Lattice="3.530 0.000 0.000 1.765 3.057 0.000 1.765 1.019 10.444" Properties=species:S:1:pos:R:3 pbc="T T T"
Ho 1.765 1.019 2.351
Ho 5.296 3.057 8.093
Ag 0.000 0.000 0.000
Dy 3.530 2.038 5.222
```

Computed properties:
- Crystal system: trigonal
- SG: R-3m (166)
- Total magnetic moment: 0.00 μB per cell

***

(5)
Here is an optimized crystal structure of Sc5InOs from the Alexandria database. Energies are from PBE.

```
14
Lattice="5.370 -0.516 -0.055 1.215 5.256 -0.055 2.362 1.701 10.819" Properties=species:S:1:pos:R:3 pbc="T T T"
Sc 5.936 2.729 1.238
Sc 3.070 3.641 6.125
Sc 5.652 5.614 6.647
Sc 5.890 0.007 2.650
Sc 5.701 5.535 9.994
Sc 3.246 0.906 0.716
Sc 3.057 6.434 8.060
Sc 3.295 0.828 4.062
Sc 5.877 2.801 4.584
Sc 3.011 3.712 9.472
In 3.431 3.423 2.650
In 5.516 3.018 8.060
Os 0.000 0.000 0.000
Os 1.181 0.850 5.410
```

Computed properties:
- Crystal system: monoclinic
- SG: C2/c (15)
- Total magnetic moment: 0.00 μB per cell

***

(6)
Here is an optimized crystal structure of Sr4PrMg5 from the Alexandria database. Energies are from PBE.

```
10
Lattice="4.094 0.000 0.000 0.000 4.094 0.000 0.000 0.000 20.926" Properties=species:S:1:pos:R:3 pbc="T T T"
Sr 0.000 0.000 3.996
Sr 0.000 0.000 8.295
Sr 0.000 0.000 12.631
Sr 0.000 0.000 16.930
Pr 0.000 0.000 0.000
Mg 2.047 2.047 1.795
Mg 2.047 2.047 6.152
Mg 2.047 2.047 10.463
Mg 2.047 2.047 14.775
Mg 2.047 2.047 19.131
```

Computed properties:
- Crystal system: tetragonal
- SG: P4/mmm (123)
- Total magnetic moment: 0.00 μB per cell

***

(7)
Here is an optimized crystal structure of NpSbRhS from the Alexandria database. Energies are from PBE.

```
8
Lattice="-0.766 -0.800 4.326 4.307 -1.029 0.572 1.699 8.111 1.801" Properties=species:S:1:pos:R:3 pbc="T T T"
Np 0.769 5.101 3.385
Np 2.700 2.095 0.866
Sb 3.571 6.252 1.789
Sb -0.101 0.943 2.461
Rh 1.771 -0.915 2.449
Rh 0.000 0.000 0.000
S 0.849 4.055 0.901
S 2.620 3.140 3.350
```

Computed properties:
- Crystal system: tetragonal
- SG: P4/nmm (129)
- Total magnetic moment: 8.24 μB per cell

***

(8)
Here is an optimized crystal structure of Tl2NiAs from the Alexandria database. Energies are from PBE.

```
4
Lattice="3.191 0.000 0.000 0.000 3.191 0.000 0.000 0.000 8.300" Properties=species:S:1:pos:R:3 pbc="T T T"
As 1.596 1.596 2.075
Ni 1.596 1.596 6.225
Tl 0.000 0.000 7.978
Tl 0.000 0.000 4.472
```

Computed properties:
- Crystal system: tetragonal
- SG: P4/mmm (123)
- Total magnetic moment: 0.00 μB per cell

***

Number 1: Fermi-level density of states 0.821 states/eV/atom, DFT total energy -42.80 eV per cell, calculated density 10.17 g/cm³. Number 2: Fermi-level density of states 0.381 states/eV/atom, DFT total energy -16.18 eV per cell, calculated density 8.15 g/cm³. Number 3: Fermi-level density of states 0.944 states/eV/atom, DFT total energy -18.56 eV per cell, calculated density 7.92 g/cm³. Number 4: Fermi-level density of states 1.113 states/eV/atom, DFT total energy -16.69 eV per cell, calculated density 8.84 g/cm³. Number 5: Fermi-level density of states 1.306 states/eV/atom, DFT total energy -93.47 eV per cell, calculated density 5.62 g/cm³. Number 6: Fermi-level density of states 1.001 states/eV/atom, DFT total energy -20.09 eV per cell, calculated density 2.90 g/cm³. Number 7: Fermi-level density of states 2.525 states/eV/atom, DFT total energy -63.14 eV per cell, calculated density 9.70 g/cm³. Number 8: Fermi-level density of states 0.803 states/eV/atom, DFT total energy -13.55 eV per cell, calculated density 10.66 g/cm³.